# Rb4RhF5 (PBE, relaxed)
# * volume: 428.7 Å³/cell
# * E_form (uncorrected): -202 kJ/mol of atoms
# * E: -4.15 eV per atom
data_Rb4RhF5
_chemical_formula_sum 'Rb8 Rh2 F10'
_symmetry_space_group_name_H-M 'I 4'
_symmetry_Int_Tables_number 79
_cell_length_a 8.684
_cell_length_b 8.684
_cell_length_c 5.684
_cell_angle_alpha 90.00
_cell_angle_beta 90.00
_cell_angle_gamma 90.00
loop_
_symmetry_equiv_pos_as_xyz
'x,y,z'
'-y,x,z'
'-x,-y,z'
'y,-x,z'
'x+1/2,y+1/2,z+1/2'
'-y+1/2,x+1/2,z+1/2'
'-x+1/2,-y+1/2,z+1/2'
'y+1/2,-x+1/2,z+1/2'
loop_
_atom_site_label
_atom_site_type_symbol
_atom_site_fract_x
_atom_site_fract_y
_atom_site_fract_z
_atom_site_occupancy
Rb1 Rb 0.099 0.706 0.000 1
Rh1 Rh 0.000 0.000 0.516 1
F1 F 0.000 0.000 0.933 1
F2 F 0.087 0.728 0.498 1

---

# Rb6RhF12 (PBE, relaxed)
# * volume: 1368.7 Å³/cell
# * E_form (uncorrected): -211 kJ/mol of atoms
# * E: -4.06 eV per atom
data_Rb6RhF12
_chemical_formula_sum 'Rb18 Rh3 F36'
_symmetry_space_group_name_H-M 'R -3'
_symmetry_Int_Tables_number 148
_symmetry_space_group_name_Hall '-R 3'
_cell_length_a 11.8792
_cell_length_b 11.8792
_cell_length_c 11.1995
_cell_angle_alpha 90.00
_cell_angle_beta 90.00
_cell_angle_gamma 120.00
loop_
_atom_site_label
_atom_site_type_symbol
_atom_site_fract_x
_atom_site_fract_y
_atom_site_fract_z
_atom_site_occupancy
Rb1 Rb 0.0540 0.8023 0.1479 1
Rh1 Rh 0.0000 0.0000 0.5000 1
F1 F 0.0441 0.8934 0.4027 1
F2 F 0.0494 0.8084 0.8994 1

---

What did the first record say?
# Rb4RhF5 (PBE, relaxed)
# * volume: 428.7 Å³/cell
# * E_form (uncorrected): -202 kJ/mol of atoms
# * E: -4.15 eV per atom
data_Rb4RhF5
_chemical_formula_sum 'Rb8 Rh2 F10'
_symmetry_space_group_name_H-M 'I 4'
_symmetry_Int_Tables_number 79
_cell_length_a 8.684
_cell_length_b 8.684
_cell_length_c 5.684
_cell_angle_alpha 90.00
_cell_angle_beta 90.00
_cell_angle_gamma 90.00
loop_
_symmetry_equiv_pos_as_xyz
'x,y,z'
'-y,x,z'
'-x,-y,z'
'y,-x,z'
'x+1/2,y+1/2,z+1/2'
'-y+1/2,x+1/2,z+1/2'
'-x+1/2,-y+1/2,z+1/2'
'y+1/2,-x+1/2,z+1/2'
loop_
_atom_site_label
_atom_site_type_symbol
_atom_site_fract_x
_atom_site_fract_y
_atom_site_fract_z
_atom_site_occupancy
Rb1 Rb 0.099 0.706 0.000 1
Rh1 Rh 0.000 0.000 0.516 1
F1 F 0.000 0.000 0.933 1
F2 F 0.087 0.728 0.498 1